(1)
Density functional theory data (PBE) for crystalline AcPmRh2 at its relaxed geometry.

Cell and atoms, written as POSCAR:
```
AcPmRh2
1.0
-2.070 0.097 3.434
2.500 -3.118 1.596
4.589 3.837 0.307
Ac Rh Pm
1 2 1
direct
0.442 0.500 0.422
0.999 0.000 0.537
0.170 0.500 0.880
0.720 0.000 0.979
```

Output
- Total energy: -6.570 eV/atom
- Space group: Pm, No. 6
- M_tot: 0.0 μB/cell
- Distance to the lowest polymorph of the same formula: 0.0 meV per atom
- ΔH_f (0 K): -2.72 eV/f.u.

=====

(2)
Density functional theory data (PBE) for crystalline Ba4LiPb3O12 at its relaxed geometry.

Cell and atoms, written as POSCAR:
```
Ba4LiPb3O12
1.0
-6.909 -0.367 -2.880
5.023 0.108 -5.562
1.215 -5.983 4.348
O Ba Pb Li
12 4 3 1
direct
0.747 0.747 0.000
0.253 0.253 0.000
0.750 0.250 0.500
0.750 0.500 0.250
0.000 0.747 0.747
0.250 0.500 0.750
0.500 0.250 0.750
0.747 0.000 0.747
0.253 0.000 0.253
0.250 0.750 0.500
0.000 0.253 0.253
0.500 0.750 0.250
0.000 0.000 0.500
0.500 0.000 0.000
0.000 0.500 0.000
0.500 0.500 0.500
0.500 0.000 0.500
0.500 0.500 0.000
0.000 0.500 0.500
0.000 0.000 0.000
```

Output
- Total energy: -5.551 eV/atom
- ΔE_f (raw): -1.540 eV/atom
- Space group: Im-3m, No. 229
- M_tot: 3.1 μB/cell

=====

(3)
Density functional theory data (PBE) for crystalline PmSm6S8 at its relaxed geometry.

Cell and atoms, written as POSCAR:
```
PmSm6S8
1.0
7.980 -0.402 -0.416
-0.651 7.964 -0.416
-0.651 -0.672 7.946
Sm S Pm
6 8 1
direct
0.816 0.643 0.442
0.442 0.816 0.643
0.184 0.357 0.558
0.558 0.184 0.357
0.643 0.442 0.816
0.357 0.558 0.184
0.774 0.774 0.774
0.661 0.420 0.155
0.845 0.339 0.580
0.155 0.661 0.420
0.226 0.226 0.226
0.580 0.845 0.339
0.420 0.155 0.661
0.339 0.580 0.845
0.000 0.000 0.000
```

Output
- Total energy: -6.060 eV/atom
- ΔE_f (raw): -1.655 eV/atom
- Space group: R-3, No. 148
- M_tot: 0.4 μB/cell
- Distance to the lowest polymorph of the same formula: 394.8 meV per atom

=====

(4)
Density functional theory data (PBE) for crystalline Pr3Se3N at its relaxed geometry.

Cell and atoms, written as POSCAR:
```
Pr3Se3N
1.0
-2.166 0.272 3.558
4.126 -11.833 3.418
10.838 5.563 6.174
Se Pr N
12 12 4
direct
0.250 0.367 0.003
0.250 0.591 0.392
0.250 0.773 0.192
0.750 0.633 0.997
0.250 0.273 0.308
0.250 0.867 0.497
0.750 0.227 0.808
0.750 0.133 0.503
0.250 0.091 0.108
0.750 0.727 0.692
0.750 0.409 0.608
0.750 0.909 0.892
0.250 0.711 0.863
0.250 0.540 0.152
0.250 0.572 0.632
0.750 0.460 0.848
0.750 0.960 0.652
0.750 0.289 0.137
0.750 0.928 0.132
0.250 0.211 0.637
0.750 0.789 0.363
0.750 0.428 0.368
0.250 0.072 0.868
0.250 0.040 0.348
0.750 0.457 0.203
0.250 0.043 0.703
0.250 0.543 0.797
0.750 0.957 0.297
```

Output
- Total energy: -6.521 eV/atom
- ΔE_f (raw): -1.790 eV/atom
- Space group: Pnma, No. 62
- M_tot: 0.0 μB/cell
- Distance to the lowest polymorph of the same formula: 0.0 meV per atom

=====

(5)
Density functional theory data (PBE) for crystalline Tb5NdAl4 at its relaxed geometry.

Cell and atoms, written as POSCAR:
```
Tb5NdAl4
1.0
3.594 0.000 0.000
0.000 3.594 0.000
0.000 0.000 19.912
Tb Al Nd
5 4 1
direct
0.500 0.500 0.316
0.500 0.500 0.867
0.500 0.500 0.684
0.500 0.500 0.500
0.500 0.500 0.133
0.000 0.000 0.224
0.000 0.000 0.592
0.000 0.000 0.776
0.000 0.000 0.408
0.000 0.000 0.000
```

Output
- Total energy: -4.598 eV/atom
- Space group: P4/mmm, No. 123
- M_tot: 0.0 μB/cell
- ΔH_f (0 K): -3.09 eV/f.u.

=====

(6)
Density functional theory data (PBE) for crystalline ScPaIr2 at its relaxed geometry.

Cell and atoms, written as POSCAR:
```
ScPaIr2
1.0
4.630 0.000 0.000
2.315 4.010 0.000
2.315 1.337 4.212
Sc Pa Ir
1 1 2
direct
0.500 0.500 0.500
0.000 0.000 0.000
0.773 0.773 0.680
0.227 0.227 0.320
```

Output
- Total energy: -9.186 eV/atom
- Space group: R-3m, No. 166
- M_tot: 0.0 μB/cell
- Distance to the lowest polymorph of the same formula: 7.7 meV per atom
- ΔH_f (0 K): -3.20 eV/f.u.